LaNd6Mg | PBE | optimized geometry

Calculated values
* crystal system: tetragonal
* energy above the lowest structure with this stoichiometry: 0.000 eV/atom
* DFT formation energy: 0.074 eV per atom
* electronic total energy: -69.1 eV for the cell shown

Cell: 5.9102 5.9102 15.5088 Å, 90.00 90.00 90.00°
Last column: nearest neighbours and their distance in Å.
Space group I4/mmm (No. 139)
Inequivalent atoms, fractional coordinates:
1 La 0.0000 0.0000 0.0000 [2 per cell]  10 Nd 3.47-3.77
2 Nd 0.0000 0.0000 0.2429 [4 per cell]  8 Nd 3.54-3.66, 1 La 3.77
3 Nd 0.0000 0.5000 0.1178 [8 per cell]  2 La 3.47, 2 Mg 3.47, 5 Nd 3.54-3.66
4 Mg 0.0000 0.0000 0.5000 [2 per cell]  8 Nd 3.47